1.
Entry from Alexandria: a relaxed LuHfIrRh crystal (PBE-GGA).

Properties
* density of states at the Fermi level: 0.464 states/eV/atom
* energy of formation: -0.96 eV/atom

Lattice parameters (Å, degrees): 6.6266 6.6266 6.6266 90.00 90.00 90.00
Closest atoms and distances in Å follow each position.
Space group F-43m (No. 216)
One atom of each set of equivalent atoms:
Lu1 0.0000 0.0000 0.0000 [4 per cell]  4 Ir 2.87, 4 Rh 2.87
Hf1 0.0000 0.0000 0.5000 [4 per cell]  4 Ir 2.87, 4 Rh 2.87
Ir1 0.2500 0.2500 0.2500 [4 per cell]  4 Hf 2.87, 4 Lu 2.87
Rh1 0.2500 0.2500 0.7500 [4 per cell]  4 Hf 2.87, 4 Lu 2.87

2.
Entry from Alexandria: a relaxed CaLa6Pm2Y crystal (PBE-GGA).

Properties
* density of states at the Fermi level: 1.657 states/eV/atom
* energy of formation: 0.11 eV/atom

Lattice parameters (Å, degrees): 9.3141 15.8882 10.0824 90.00 99.06 90.00
Closest atoms and distances in Å follow each position.
Space group C2/c (No. 15)
One atom of each set of equivalent atoms:
Ca1 0.0000 0.0971 0.2500 [4 per cell]  6 La 3.65-3.75, 2 Pm 3.69
La1 0.0570 0.3260 0.4491 [8 per cell]  3 La 3.46-3.69, 1 Pm 3.50, 1 Y 3.73
La2 0.1098 0.1079 0.6239 [8 per cell]  3 La 3.30-3.51, 3 Pm 3.37-3.55
La3 0.2011 0.2708 0.8224 [8 per cell]  4 La 3.30-3.69, 1 Pm 3.61, 1 Ca 3.65
Pm1 0.2504 0.0482 0.9580 [8 per cell]  5 La 3.37-3.61, 2 Y 3.47-3.56, 1 Ca 3.69
Y1 0.0000 0.4753 0.7500 [4 per cell]  4 Pm 3.47-3.56, 4 La 3.73-3.76

3.
Entry from Alexandria: a relaxed Hf2ZrFe crystal (PBE-GGA).

Properties
* density of states at the Fermi level: 1.081 states/eV/atom
* energy of formation: -0.13 eV/atom

Lattice parameters (Å, degrees): 6.2096 8.8590 5.7351 90.00 90.00 90.00
Closest atoms and distances in Å follow each position.
Space group Pnma (No. 62)
One atom of each set of equivalent atoms:
Hf1 0.1802 0.0615 0.1688 [8 per cell]  2 Fe 2.54-2.58
Zr1 0.0357 0.2500 0.6413 [4 per cell]  2 Fe 2.49-2.63
Fe1 0.1145 0.7500 0.9301 [4 per cell]  2 Zr 2.49-2.63, 4 Hf 2.54-2.58

4.
Entry from Alexandria: a relaxed BaMn2HgCl8 crystal (PBE-GGA).

Properties
* calculated total energy: -4.182 eV per atom

Lattice parameters (Å, degrees): 6.3315 6.5580 7.9887 89.93 89.95 88.35
Closest atoms and distances in Å follow each position.
Space group P-1 (No. 2)
One atom of each set of equivalent atoms:
Ba1 0.0000 0.0000 0.0000 [1 per cell]  6 Cl 3.00-3.09
Mn1 0.5001 0.5002 0.2624 [2 per cell]  6 Cl 2.54-2.63
Hg1 0.0000 0.0000 0.5000 [1 per cell]  6 Cl 2.69-2.95
Cl1 0.2638 0.8197 0.7220 [2 per cell]  1 Mn 2.54, 1 Hg 2.69
Cl2 0.2647 0.8201 0.2775 [2 per cell]  1 Mn 2.54, 1 Hg 2.69
Cl3 0.2805 0.3515 0.5000 [2 per cell]  2 Mn 2.56
Cl4 0.2950 0.3673 0.0001 [2 per cell]  2 Mn 2.62-2.63